This record from Alexandria via LeMat-Bulk describes an optimized crystal structure of La6Ag2CN. The functional is PBE.

* symmetry: P2_1/c (14)
* total moment: 0.00 μB per atom
* formation energy without anion corrections: -0.402 eV per atom
* total energy: -56.84 eV/f.u.

a b c (Å): 7.1558 7.3406 10.2254
angles (deg): 90.00 90.17 90.00
With the nearest neighbours (Å) after each atom.
Atoms (fractional coordinates):
La: 0.2083 0.2179 0.0433  1 N 2.59, 1 C 2.67
Ag: 0.9808 0.0458 0.7516  6 La 3.13-3.37
La: 0.7917 0.7821 0.9567  1 N 2.59, 1 C 2.67
N: 0.5000 0.0000 0.5000  6 La 2.59-2.65
La: 0.9127 0.5190 0.2501  1 C 2.63, 1 N 2.64
La: 0.7089 0.2851 0.9564  1 C 2.61, 1 N 2.65
La: 0.2089 0.2149 0.4564  1 C 2.61, 1 N 2.65
C: 0.0000 0.5000 0.5000  6 La 2.61-2.67
Ag: 0.5192 0.5458 0.7484  6 La 3.13-3.37
Ag: 0.0192 0.9542 0.2484  6 La 3.13-3.37
La: 0.2911 0.7149 0.0436  1 C 2.61, 1 N 2.65
La: 0.7083 0.2821 0.5433  1 N 2.59, 1 C 2.67
La: 0.4127 0.9810 0.7501  1 C 2.63, 1 N 2.64
La: 0.2917 0.7179 0.4567  1 N 2.59, 1 C 2.67
La: 0.7911 0.7851 0.5436  1 C 2.61, 1 N 2.65
Ag: 0.4808 0.4542 0.2516  6 La 3.13-3.37
C: 0.5000 0.0000 0.0000  6 La 2.61-2.67
La: 0.0873 0.4810 0.7499  1 C 2.63, 1 N 2.64
La: 0.5873 0.0190 0.2499  1 C 2.63, 1 N 2.64
N: 0.0000 0.5000 0.0000  6 La 2.59-2.65

This record from Alexandria via LeMat-Bulk describes an optimized crystal structure of PmPrEr2. The functional is PBE.

* symmetry: R-3m (166)
* total moment: 0.00 μB per atom
* E above lowest polymorph: 12.0 meV per atom
* formation energy: 0.0154 eV/atom
* total energy: -18.59 eV/f.u.

a b c (Å): 3.6004 3.6004 11.8127
angles (deg): 81.23 81.23 60.00
With the nearest neighbours (Å) after each atom.
Atoms (fractional coordinates):
Pm: 0.0000 0.0000 0.0000  6 Er 3.56, 6 Pm 3.60
Er: 0.7494 0.7494 0.7517  3 Pm 3.56, 3 Pr 3.59, 6 Er 3.60
Er: 0.2506 0.2506 0.2483  3 Pm 3.56, 3 Pr 3.59, 6 Er 3.60
Pr: 0.5000 0.5000 0.5000  6 Er 3.59, 6 Pr 3.60

This record from Alexandria via LeMat-Bulk describes an optimized crystal structure of CdRh4Cl. The functional is PBE.

* symmetry: F-43m (216)
* total moment: 0.44 μB per atom
* formation energy without anion corrections: 0.559 eV per atom
* total energy: -28.81 eV/f.u.

a b c (Å): 5.2635 5.2635 5.2635
angles (deg): 60.00 60.00 60.00
With the nearest neighbours (Å) after each atom.
Atoms (fractional coordinates):
Cd: 0.7500 0.7500 0.7500  12 Rh 3.09, 4 Cl 3.22
Rh: 0.8756 0.3748 0.3748  6 Rh 2.63-2.64
Rh: 0.3748 0.3748 0.3748  6 Rh 2.63-2.64
Cl: 0.0000 0.0000 0.0000  12 Rh 3.09, 4 Cd 3.22
Rh: 0.3748 0.8756 0.3748  6 Rh 2.63-2.64
Rh: 0.3748 0.3748 0.8756  6 Rh 2.63-2.64